[1]
First-principles (PBE) data for a geometry-optimized TmTh3Sn12 structure, as listed in Alexandria via LeMat-Bulk.

Lattice parameters (Å, degrees): 4.786 4.786 18.569 90.00 90.00 90.00
Atoms (fractional coordinates):
Tm 0.000 0.000 0.000
Th 0.000 0.000 0.249
Th 0.000 0.000 0.500
Th 0.000 0.000 0.751
Sn 0.000 0.500 0.121
Sn 0.000 0.500 0.374
Sn 0.000 0.500 0.626
Sn 0.000 0.500 0.879
Sn 0.500 0.000 0.121
Sn 0.500 0.000 0.374
Sn 0.500 0.000 0.626
Sn 0.500 0.000 0.879
Sn 0.500 0.500 0.000
Sn 0.500 0.500 0.247
Sn 0.500 0.500 0.500
Sn 0.500 0.500 0.753

Properties
* electronic total energy: -81.64 eV for the cell shown
* formation energy from the elements: -430 meV per atom

***

[2]
First-principles (PBE) data for a geometry-optimized TmTh2Sn9 structure, as listed in Alexandria via LeMat-Bulk.

Lattice parameters (Å, degrees): 4.742 4.742 14.141 90.00 90.00 90.00
Atoms (fractional coordinates):
Tm 0.000 0.000 0.000
Th 0.000 0.000 0.333
Th 0.000 0.000 0.667
Sn 0.000 0.500 0.162
Sn 0.000 0.500 0.500
Sn 0.000 0.500 0.838
Sn 0.500 0.000 0.162
Sn 0.500 0.000 0.500
Sn 0.500 0.000 0.838
Sn 0.500 0.500 0.000
Sn 0.500 0.500 0.330
Sn 0.500 0.500 0.670

Properties
* electronic total energy: -60.34 eV for the cell shown
* formation energy from the elements: -417 meV per atom

***

[3]
First-principles (PBE) data for a geometry-optimized Tm3ThSn2 structure, as listed in Alexandria via LeMat-Bulk.

Lattice parameters (Å, degrees): 9.309 9.309 9.389 112.11 112.11 27.98
Atoms (fractional coordinates):
Tm 0.057 0.057 0.187
Tm 0.309 0.309 0.610
Tm 0.360 0.360 0.018
Tm 0.640 0.640 0.982
Tm 0.691 0.691 0.390
Tm 0.943 0.943 0.813
Th 0.115 0.115 0.634
Th 0.885 0.885 0.366
Sn 0.243 0.243 0.210
Sn 0.487 0.487 0.645
Sn 0.513 0.513 0.355
Sn 0.757 0.757 0.790

Properties
* electronic total energy: -62.76 eV for the cell shown
* formation energy from the elements: -423 meV per atom

***

The lowest electronic total energy belongs to which entry? TmTh3Sn12

***

Look up the formation energy from the elements of the third one. -423 meV per atom